Record 1
Material: Ta6NbMo5
Method: DFT, PBE
State: optimized geometry

Properties
V = 204.7 Å³/f.u.
ΔE_f = -2.0 eV/f.u.
D(E_F) = 0.926 states/eV/atom
DFT total energy = -11.447 eV/atom

Cell lengths 4.5878, 6.4918, 7.2435 Å; angles 90.00, 108.38, 90.00 degrees
Closest atoms and distances in Å follow each position.
Positions (direct):
Mo 0.0000 0.5000 0.0000  8 Ta 2.80-2.82
Mo 0.6659 0.0000 0.3319  8 Ta 2.80-2.82
Mo 0.6668 0.5000 0.3337  8 Ta 2.78-2.80
Mo 0.3341 0.0000 0.6681  8 Ta 2.80-2.82
Mo 0.3332 0.5000 0.6663  8 Ta 2.78-2.80
Ta 0.1685 0.2522 0.3371  7 Mo 2.78-2.82, 1 Nb 2.84
Ta 0.8315 0.7478 0.6629  7 Mo 2.78-2.82, 1 Nb 2.84
Ta 0.8315 0.2522 0.6629  7 Mo 2.78-2.82, 1 Nb 2.84
Ta 0.5000 0.7465 0.0000  6 Mo 2.80-2.81, 2 Nb 2.82
Ta 0.5000 0.2535 0.0000  6 Mo 2.80-2.81, 2 Nb 2.82
Ta 0.1685 0.7478 0.3371  7 Mo 2.78-2.82, 1 Nb 2.84
Nb 0.0000 0.0000 0.0000  8 Ta 2.82-2.84

=====

Record 2
Material: TaNb2Mo6
Method: DFT, PBE
State: optimized geometry

Properties
V = 153.2 Å³/f.u.
ΔE_f = 2.5 eV/f.u.
Excess energy over the best structure of this formula in the dataset = 49 meV/atom
D(E_F) = 0.942 states/eV/atom
DFT total energy = -10.495 eV/atom

Cell lengths 2.6273, 8.4326, 8.2041 Å; angles 120.93, 99.21, 90.00 degrees
Closest atoms and distances in Å follow each position.
Positions (direct):
Mo 0.6675 0.8353 0.3351  4 Mo 2.63-2.83, 1 Nb 2.78
Mo 0.3325 0.5003 0.6649  4 Mo 2.63-2.83, 1 Nb 2.78
Mo 0.5000 0.1761 0.0000  4 Mo 2.63-2.66
Mo 0.6675 0.4997 0.3351  4 Mo 2.63-2.83, 1 Nb 2.78
Mo 0.3325 0.1647 0.6649  4 Mo 2.63-2.83, 1 Nb 2.78
Mo 0.5000 0.8239 0.0000  4 Mo 2.63-2.66
Ta 0.0000 0.5000 0.0000  2 Ta 2.63
Nb 0.1597 0.1597 0.3194  2 Nb 2.63, 2 Mo 2.78
Nb 0.8403 0.8403 0.6806  2 Nb 2.63, 2 Mo 2.78

=====

Record 3
Material: TaNbMo2
Method: DFT, PBE
State: optimized geometry

Properties
V = 67.4 Å³/f.u.
ΔE_f = -0.7 eV/f.u.
Excess energy over the best structure of this formula in the dataset = 0 meV/atom
D(E_F) = 0.688 states/eV/atom
DFT total energy = -11.070 eV/atom

Cell lengths 3.2292, 3.2292, 6.4633 Å; angles 90.00, 90.00, 90.00 degrees
Closest atoms and distances in Å follow each position.
Positions (direct):
Mo 0.0000 0.0000 0.7500  4 Nb 2.80, 4 Ta 2.80
Mo 0.0000 0.0000 0.2500  4 Nb 2.80, 4 Ta 2.80
Ta 0.5000 0.5000 0.5000  8 Mo 2.80
Nb 0.5000 0.5000 0.0000  8 Mo 2.80

=====

Record 4
Material: Ta2Nb3Mo7
Method: DFT, PBE
State: optimized geometry

Properties
V = 220.5 Å³/f.u.
ΔE_f = 3.6 eV/f.u.
D(E_F) = 0.979 states/eV/atom
DFT total energy = -10.511 eV/atom

Cell lengths 4.5422, 4.4564, 11.1187 Å; angles 101.56, 90.00, 90.00 degrees
Closest atoms and distances in Å follow each position.
Positions (direct):
Mo 0.5000 0.0728 0.1455  4 Nb 2.73-2.81, 2 Mo 2.77, 2 Ta 2.78
Mo 0.0000 0.4261 0.8522  2 Ta 2.73, 2 Mo 2.75, 4 Nb 2.78-2.83
Mo 0.0000 0.2822 0.5644  2 Mo 2.63, 2 Nb 2.69, 2 Ta 2.72
Mo 0.0000 0.0000 0.0000  8 Mo 2.75-2.77
Mo 0.0000 0.7178 0.4356  2 Mo 2.63, 2 Nb 2.69, 2 Ta 2.72
Mo 0.5000 0.9272 0.8545  4 Nb 2.73-2.81, 2 Mo 2.77, 2 Ta 2.78
Mo 0.0000 0.5739 0.1478  2 Ta 2.73, 2 Mo 2.75, 4 Nb 2.78-2.83
Nb 0.5000 0.6515 0.3031  6 Mo 2.69-2.83
Nb 0.5000 0.3485 0.6969  6 Mo 2.69-2.83
Nb 0.5000 0.5000 0.0000  8 Mo 2.73-2.78
Ta 0.0000 0.1461 0.2923  7 Mo 2.72-2.96
Ta 0.0000 0.8539 0.7077  7 Mo 2.72-2.96

=====

Record 5
Material: Ta2Nb3Mo2
Method: DFT, PBE
State: optimized geometry

Properties
V = 122.2 Å³/f.u.
ΔE_f = -0.7 eV/f.u.
Excess energy over the best structure of this formula in the dataset = 17 meV/atom
D(E_F) = 1.155 states/eV/atom
DFT total energy = -10.893 eV/atom

Cell lengths 4.5518, 5.4280, 5.4790 Å; angles 95.56, 90.00, 114.79 degrees
Closest atoms and distances in Å follow each position.
Positions (direct):
Ta 0.4231 0.8461 0.7107  3 Mo 2.79-2.82, 4 Nb 2.83-2.92, 1 Ta 2.89
Ta 0.5769 0.1539 0.2893  3 Mo 2.79-2.82, 4 Nb 2.83-2.92, 1 Ta 2.89
Nb 0.2848 0.5696 0.1562  3 Mo 2.78-2.82, 3 Nb 2.85-2.89, 2 Ta 2.89-2.92
Nb 0.0000 0.0000 0.0000  4 Ta 2.83, 2 Mo 2.84, 2 Nb 2.85
Nb 0.7152 0.4304 0.8438  3 Mo 2.78-2.82, 3 Nb 2.85-2.89, 2 Ta 2.89-2.92
Mo 0.1394 0.2789 0.5730  4 Nb 2.78-2.84, 1 Mo 2.78, 3 Ta 2.79-2.82
Mo 0.8606 0.7211 0.4270  4 Nb 2.78-2.84, 1 Mo 2.78, 3 Ta 2.79-2.82

=====

Record 6
Material: Ta3Nb3Mo
Method: DFT, PBE
State: optimized geometry

Properties
V = 133.6 Å³/f.u.
ΔE_f = 3.8 eV/f.u.
Excess energy over the best structure of this formula in the dataset = 325 meV/atom
D(E_F) = 1.206 states/eV/atom
DFT total energy = -10.404 eV/atom

Cell lengths 5.2456, 5.2456, 5.2456 Å; angles 101.81, 101.81, 101.81 degrees
Closest atoms and distances in Å follow each position.
Positions (direct):
Ta 0.1919 0.5386 0.5386  5 Nb 2.73-3.04, 2 Ta 2.82, 1 Mo 2.93
Ta 0.5386 0.5386 0.1919  5 Nb 2.73-3.04, 2 Ta 2.82, 1 Mo 2.93
Ta 0.5386 0.1919 0.5386  5 Nb 2.73-3.04, 2 Ta 2.82, 1 Mo 2.93
Mo 0.0743 0.0743 0.0743  6 Nb 2.66-2.79, 3 Ta 2.93
Nb 0.9583 0.9583 0.5396  2 Mo 2.66-2.79, 3 Ta 2.73-2.78
Nb 0.5396 0.9583 0.9583  2 Mo 2.66-2.79, 3 Ta 2.73-2.78
Nb 0.9583 0.5396 0.9583  2 Mo 2.66-2.79, 3 Ta 2.73-2.78

=====

Record 7
Material: Ta2NbMo
Method: DFT, PBE
State: optimized geometry

Properties
V = 70.0 Å³/f.u.
ΔE_f = -0.4 eV/f.u.
Excess energy over the best structure of this formula in the dataset = 15 meV/atom
D(E_F) = 1.221 states/eV/atom
DFT total energy = -11.244 eV/atom

Cell lengths 4.6259, 4.6259, 4.6259 Å; angles 60.00, 60.00, 60.00 degrees
Closest atoms and distances in Å follow each position.
Positions (direct):
Nb 0.0000 0.0000 0.0000  8 Ta 2.83
Ta 0.7500 0.7500 0.7500  4 Nb 2.83, 4 Mo 2.83
Ta 0.2500 0.2500 0.2500  4 Nb 2.83, 4 Mo 2.83
Mo 0.5000 0.5000 0.5000  8 Ta 2.83

=====

Record 8
Material: Ta6NbMo
Method: DFT, PBE
State: optimized geometry

Properties
V = 146.7 Å³/f.u.
ΔE_f = 1.3 eV/f.u.
Excess energy over the best structure of this formula in the dataset = 196 meV/atom
D(E_F) = 1.060 states/eV/atom
DFT total energy = -11.341 eV/atom

Cell lengths 5.8284, 5.8284, 5.8284 Å; angles 110.44, 110.44, 110.44 degrees
Closest atoms and distances in Å follow each position.
Positions (direct):
Ta 0.2529 0.7489 0.7489  6 Ta 2.77-2.93, 1 Mo 2.78, 1 Nb 2.82
Ta 0.2511 0.2511 0.7471  6 Ta 2.77-2.93, 1 Mo 2.78, 1 Nb 2.82
Ta 0.2511 0.7471 0.2511  6 Ta 2.77-2.93, 1 Mo 2.78, 1 Nb 2.82
Ta 0.7489 0.2529 0.7489  6 Ta 2.77-2.93, 1 Mo 2.78, 1 Nb 2.82
Ta 0.7471 0.2511 0.2511  6 Ta 2.77-2.93, 1 Mo 2.78, 1 Nb 2.82
Ta 0.7489 0.7489 0.2529  6 Ta 2.77-2.93, 1 Mo 2.78, 1 Nb 2.82
Nb 0.0000 0.0000 0.0000  2 Mo 2.77, 6 Ta 2.82
Mo 0.5000 0.5000 0.5000  2 Nb 2.77, 6 Ta 2.78

=====

Record 9
Material: Ta7Nb2Mo2
Method: DFT, PBE
State: optimized geometry

Properties
V = 202.9 Å³/f.u.
ΔE_f = 2.4 eV/f.u.
Excess energy over the best structure of this formula in the dataset = 11 meV/atom
D(E_F) = 0.816 states/eV/atom
DFT total energy = -11.128 eV/atom

Cell lengths 7.4595, 5.4540, 5.4540 Å; angles 105.96, 100.71, 100.71 degrees
Closest atoms and distances in Å follow each position.
Positions (direct):
Mo 0.5000 0.2680 0.7320  6 Ta 2.59-2.82
Mo 0.5000 0.7320 0.2680  6 Ta 2.59-2.82
Ta 0.8194 0.4836 0.0802  1 Mo 2.59, 2 Nb 2.68-2.89
Ta 0.1806 0.9198 0.5164  1 Mo 2.59, 2 Nb 2.68-2.89
Ta 0.0000 0.0000 0.0000  2 Nb 2.58
Ta 0.4379 0.1858 0.1858  4 Mo 2.74-2.82, 1 Nb 2.82, 1 Ta 2.87
Ta 0.8194 0.0802 0.4836  1 Mo 2.59, 2 Nb 2.68-2.89
Ta 0.1806 0.5164 0.9198  1 Mo 2.59, 2 Nb 2.68-2.89
Ta 0.5621 0.8142 0.8142  4 Mo 2.74-2.82, 1 Nb 2.82, 1 Ta 2.87
Nb 0.8324 0.5934 0.5934  4 Ta 2.58-2.82
Nb 0.1676 0.4066 0.4066  4 Ta 2.58-2.82

=====

Record 10
Material: Ta4Nb3Mo
Method: DFT, PBE
State: optimized geometry

Properties
V = 147.9 Å³/f.u.
ΔE_f = 1.1 eV/f.u.
Excess energy over the best structure of this formula in the dataset = 195 meV/atom
D(E_F) = 0.986 states/eV/atom
DFT total energy = -10.920 eV/atom

Cell lengths 5.1410, 6.7398, 8.5373 Å; angles 90.00, 90.00, 90.00 degrees
Closest atoms and distances in Å follow each position.
Positions (direct):
Nb 0.1399 0.3985 0.5000  1 Mo 2.68, 3 Ta 2.70-2.73, 2 Nb 2.86
Nb 0.6333 0.4119 0.2998  1 Ta 2.70, 3 Nb 2.86-2.96
Nb 0.1333 0.5881 0.2002  1 Ta 2.70, 3 Nb 2.86-2.96
Nb 0.1333 0.5881 0.7998  1 Ta 2.70, 3 Nb 2.86-2.96
Nb 0.6333 0.4119 0.7002  1 Ta 2.70, 3 Nb 2.86-2.96
Nb 0.6399 0.6015 0.0000  1 Mo 2.68, 3 Ta 2.70-2.73, 2 Nb 2.86
Ta 0.3757 0.2499 0.0000  2 Mo 2.56-2.58, 1 Ta 2.73, 1 Nb 2.73
Ta 0.1201 0.0861 0.6982  1 Nb 2.70, 3 Ta 2.87-2.96
Ta 0.6201 0.9139 0.1982  1 Nb 2.70, 3 Ta 2.87-2.96
Ta 0.6158 0.1029 0.5000  1 Mo 2.66, 2 Nb 2.70, 3 Ta 2.73-2.87
Ta 0.1158 0.8971 0.0000  1 Mo 2.66, 2 Nb 2.70, 3 Ta 2.73-2.87
Ta 0.8757 0.7501 0.5000  2 Mo 2.56-2.58, 1 Ta 2.73, 1 Nb 2.73
Ta 0.6201 0.9139 0.8018  1 Nb 2.70, 3 Ta 2.87-2.96
Ta 0.1201 0.0861 0.3018  1 Nb 2.70, 3 Ta 2.87-2.96
Mo 0.3771 0.7520 0.5000  3 Ta 2.56-2.66, 1 Nb 2.68
Mo 0.8771 0.2480 0.0000  3 Ta 2.56-2.66, 1 Nb 2.68

=====

Record 11
Material: TaNb3Mo4
Method: DFT, PBE
State: optimized geometry

Properties
V = 134.9 Å³/f.u.
ΔE_f = -1.3 eV/f.u.
Excess energy over the best structure of this formula in the dataset = 0 meV/atom
D(E_F) = 0.519 states/eV/atom
DFT total energy = -10.832 eV/atom

Cell lengths 3.2216, 4.5763, 9.1519 Å; angles 90.00, 90.00, 90.00 degrees
Closest atoms and distances in Å follow each position.
Positions (direct):
Nb 0.5000 0.5000 0.5000  8 Mo 2.80
Nb 0.5000 0.0000 0.7507  8 Mo 2.79-2.80
Nb 0.5000 0.0000 0.2493  8 Mo 2.79-2.80
Mo 0.0000 0.0000 0.0000  4 Nb 2.79, 4 Ta 2.80
Mo 0.0000 0.5000 0.2501  6 Nb 2.80, 2 Ta 2.80
Mo 0.0000 0.5000 0.7499  6 Nb 2.80, 2 Ta 2.80
Mo 0.0000 0.0000 0.5000  8 Nb 2.80
Ta 0.5000 0.5000 0.0000  8 Mo 2.80

=====

Record 12
Material: Ta14NbMo
Method: DFT, PBE
State: optimized geometry

Properties
V = 290.2 Å³/f.u.
ΔE_f = -0.3 eV/f.u.
D(E_F) = 1.359 states/eV/atom
DFT total energy = -11.698 eV/atom

Cell lengths 5.7352, 5.7352, 9.3427 Å; angles 90.00, 90.00, 109.19 degrees
Closest atoms and distances in Å follow each position.
Positions (direct):
Ta 0.8711 0.6211 0.7430  1 Mo 2.80, 1 Nb 2.83, 6 Ta 2.87-2.93
Ta 0.8766 0.1234 0.2464  8 Ta 2.84-2.89
Ta 0.3734 0.6266 0.7535  8 Ta 2.84-2.89
Ta 0.1249 0.3750 0.5000  2 Nb 2.87, 2 Mo 2.87, 4 Ta 2.89
Ta 0.8711 0.6211 0.2570  1 Mo 2.80, 1 Nb 2.83, 6 Ta 2.87-2.93
Ta 0.6250 0.8749 0.0000  8 Ta 2.84-2.87
Ta 0.1250 0.8750 0.0000  8 Ta 2.87-2.93
Ta 0.6251 0.3749 0.0000  8 Ta 2.87-2.90
Ta 0.3789 0.1289 0.7430  1 Mo 2.80, 1 Nb 2.83, 6 Ta 2.87-2.93
Ta 0.1251 0.3750 0.0000  8 Ta 2.84-2.87
Ta 0.3789 0.1289 0.2570  1 Mo 2.80, 1 Nb 2.83, 6 Ta 2.87-2.93
Ta 0.3734 0.6266 0.2465  8 Ta 2.84-2.89
Ta 0.8766 0.1234 0.7536  8 Ta 2.84-2.89
Ta 0.6250 0.8751 0.5000  2 Nb 2.87, 2 Mo 2.87, 4 Ta 2.89
Mo 0.6249 0.3751 0.5000  8 Ta 2.80-2.87
Nb 0.1249 0.8751 0.5000  8 Ta 2.83-2.87

=====

Repeat the tenth record exactly.
Material: Ta4Nb3Mo
Method: DFT, PBE
State: optimized geometry

Properties
V = 147.9 Å³/f.u.
ΔE_f = 1.1 eV/f.u.
Excess energy over the best structure of this formula in the dataset = 195 meV/atom
D(E_F) = 0.986 states/eV/atom
DFT total energy = -10.920 eV/atom

Cell lengths 5.1410, 6.7398, 8.5373 Å; angles 90.00, 90.00, 90.00 degrees
Closest atoms and distances in Å follow each position.
Positions (direct):
Nb 0.1399 0.3985 0.5000  1 Mo 2.68, 3 Ta 2.70-2.73, 2 Nb 2.86
Nb 0.6333 0.4119 0.2998  1 Ta 2.70, 3 Nb 2.86-2.96
Nb 0.1333 0.5881 0.2002  1 Ta 2.70, 3 Nb 2.86-2.96
Nb 0.1333 0.5881 0.7998  1 Ta 2.70, 3 Nb 2.86-2.96
Nb 0.6333 0.4119 0.7002  1 Ta 2.70, 3 Nb 2.86-2.96
Nb 0.6399 0.6015 0.0000  1 Mo 2.68, 3 Ta 2.70-2.73, 2 Nb 2.86
Ta 0.3757 0.2499 0.0000  2 Mo 2.56-2.58, 1 Ta 2.73, 1 Nb 2.73
Ta 0.1201 0.0861 0.6982  1 Nb 2.70, 3 Ta 2.87-2.96
Ta 0.6201 0.9139 0.1982  1 Nb 2.70, 3 Ta 2.87-2.96
Ta 0.6158 0.1029 0.5000  1 Mo 2.66, 2 Nb 2.70, 3 Ta 2.73-2.87
Ta 0.1158 0.8971 0.0000  1 Mo 2.66, 2 Nb 2.70, 3 Ta 2.73-2.87
Ta 0.8757 0.7501 0.5000  2 Mo 2.56-2.58, 1 Ta 2.73, 1 Nb 2.73
Ta 0.6201 0.9139 0.8018  1 Nb 2.70, 3 Ta 2.87-2.96
Ta 0.1201 0.0861 0.3018  1 Nb 2.70, 3 Ta 2.87-2.96
Mo 0.3771 0.7520 0.5000  3 Ta 2.56-2.66, 1 Nb 2.68
Mo 0.8771 0.2480 0.0000  3 Ta 2.56-2.66, 1 Nb 2.68